No. 1
Compound: MgTa2Cl
Source: Alexandria
Functional: GGA-PBE
Structure: optimized geometry Values from VASP.

Quantum ESPRESSO input file:
```
&SYSTEM
  ibrav = 0, nat = 4, ntyp = 3
/
ATOMIC_SPECIES
Cl 35.45 Cl.upf
Mg 24.30 Mg.upf
Ta 180.95 Ta.upf
CELL_PARAMETERS angstrom
-2.9551 -0.2894 0.8812
1.3850 -2.0541 3.9702
0.2434 4.7675 2.3817
ATOMIC_POSITIONS crystal
Cl 0.5000 0.0000 0.5000
Mg 0.0000 0.5000 0.5000
Ta 0.0000 0.0000 0.0000
Ta 0.5000 0.5000 0.0000
```

M_tot: 0.00 μB per cell
final energy: -6.36 eV per atom
D(E_F): 0.943 states/eV/atom
symmetry: No. 47
distance to the lowest polymorph of the same formula: 487 meV/atom

No. 2
Compound: KTl2Au9
Source: Alexandria
Functional: GGA-PBE
Structure: optimized geometry Values from VASP.

Quantum ESPRESSO input file:
```
&SYSTEM
  ibrav = 0, nat = 12, ntyp = 3
/
ATOMIC_SPECIES
K 39.10 K.upf
Tl 204.38 Tl.upf
Au 196.97 Au.upf
CELL_PARAMETERS angstrom
-2.8475 1.3793 -4.8257
-5.2431 -2.1994 -0.9849
-6.5080 6.8883 2.3590
ATOMIC_POSITIONS crystal
K 0.0000 0.0000 0.0000
Tl 0.8592 0.8592 0.4224
Tl 0.1408 0.1408 0.5776
Au 0.6667 0.6667 0.0000
Au 0.3333 0.3333 0.0000
Au 0.5000 0.5000 0.5000
Au 0.4147 0.4147 0.2503
Au 0.9202 0.4147 0.2503
Au 0.4147 0.9202 0.2503
Au 0.5853 0.5853 0.7497
Au 0.5853 0.0798 0.7497
Au 0.0798 0.5853 0.7497
```

M_tot: 0.00 μB per cell
final energy: -3.06 eV per atom
formation enthalpy at 0 K: -0.111 eV/atom
D(E_F): 0.328 states/eV/atom
symmetry: No. 166